[1]
Material: Pm2Ge2Te5
Method: DFT, PBE
State: relaxed

Cell: 11.049 11.049 11.049 Å, 61.45 138.03 137.27°
Sites, in units of the cell vectors:
Pm1 0.024 0.103 0.127
Pm2 0.024 0.397 0.421
Pm3 0.976 0.603 0.579
Pm4 0.976 0.897 0.873
Ge1 0.456 0.456 0.000
Ge2 0.456 0.956 0.500
Ge3 0.551 0.822 0.229
Ge4 0.593 0.322 0.771
Te1 0.108 0.712 0.896
Te2 0.244 0.016 0.523
Te3 0.244 0.221 0.728
Te4 0.491 0.191 0.237
Te5 0.491 0.755 0.800
Te6 0.493 0.516 0.272
Te7 0.493 0.721 0.477
Te8 0.816 0.212 0.104
Te9 0.954 0.255 0.763
Te10 0.954 0.691 0.200

Calculated values
The calculation puts the spin magnetization at 0.0 μB per formula unit. The uncorrected formation energy is -673 meV per atom.



[2]
Material: Pm2GeTe
Method: DFT, PBE
State: relaxed

Cell: 3.685 3.685 7.953 Å, 90.00 90.00 90.00°
Sites, in units of the cell vectors:
Pm1 0.000 0.000 0.240
Pm2 0.000 0.000 0.760
Ge1 0.500 0.500 0.000
Te1 0.500 0.500 0.500

Calculated values
The calculation puts the spin magnetization at 0.0 μB per formula unit. The polymorph energy (0 for the lowest one) is 315.3 meV per atom. The uncorrected formation energy is -904 meV per atom.



[3]
Material: Pm5GeTe4
Method: DFT, PBE
State: relaxed

Cell: 7.695 7.695 7.695 Å, 99.50 99.50 132.05°
Sites, in units of the cell vectors:
Pm1 0.000 0.000 0.000
Pm2 0.222 0.404 0.626
Pm3 0.404 0.778 0.182
Pm4 0.596 0.222 0.818
Pm5 0.778 0.596 0.374
Ge1 0.500 0.500 0.000
Te1 0.093 0.696 0.789
Te2 0.304 0.093 0.398
Te3 0.696 0.907 0.602
Te4 0.907 0.304 0.211

Calculated values
The calculation puts the spin magnetization at 0.0 μB per formula unit. The polymorph energy (0 for the lowest one) is 0.0 meV per atom. The uncorrected formation energy is -1368 meV per atom.